# 1
First-principles (SCAN) data for TiNiSCl2 at its PBEsol-relaxed geometry, as listed in Alexandria.

Unit cell a=4.6192 b=4.6192 c=4.7331 alpha=90.00 beta=90.00 gamma=90.00
With the nearest neighbours (Å) after each atom.
Space group P4/mmm (No. 123)
Unique sites:
Ti 0.0000 0.0000 0.0000  4 Cl 2.31, 2 S 2.37
Ni 0.5000 0.5000 0.5000  4 S 3.27, 8 Cl 3.31
S 0.0000 0.0000 0.5000  2 Ti 2.37
Cl 0.0000 0.5000 0.0000  2 Ti 2.31

Summary:
formation energy from raw total energies: -0.463 eV per atom
crystal system: tetragonal

***

# 2
First-principles (SCAN) data for Ca2TeW at its PBEsol-relaxed geometry, as listed in Alexandria.

Unit cell a=4.5499 b=3.9538 c=11.5322 alpha=90.00 beta=90.00 gamma=90.00
With the nearest neighbours (Å) after each atom.
Space group Amm2 (No. 38)
Unique sites:
Ca 0.0000 0.0000 0.0000  3 Te 3.14-3.32, 4 W 3.18
Ca 0.5000 0.0000 0.3055  3 W 3.19-3.27, 4 Te 3.20
Te 0.0000 0.0000 0.7117  2 W 2.68
W 0.5000 0.0000 0.5888  2 Te 2.68

Summary:
formation energy from raw total energies: 0.273 eV per atom
crystal system: orthorhombic

***

no.,magnetic moment (Bohr magnetons per cell)
1,0.22
2,3.53